[1]
ZrNbFeSn | PBE-GGA | optimized geometry

The structure belongs to space group F-43m (No. 216); the cell edges are 6.573, 6.573 and 6.573 Å and the angles 90.00°, 90.00° and 90.00°. The asymmetric unit holds Zr at (0.000, 0.000, 0.000), Nb at (0.250, 0.250, 0.250), Fe at (0.250, 0.250, 0.750) and Sn at (0.000, 0.000, 0.500).

As for the energy above the most stable polymorph in this dataset: 0 meV per atom. For the magnetic moment, the calculation gives 2.9 μB per formula unit.


[2]
Ag3SeCl | PBE-GGA | optimized geometry

The structure belongs to space group Cmcm (No. 63); the cell edges are 10.010, 9.806 and 9.824 Å and the angles 90.00°, 90.00° and 90.00°. The asymmetric unit holds Ag at (0.000, 0.219, 0.072), Ag at (0.153, 0.500, 0.000), Ag at (0.207, 0.166, 0.750), Se at (0.250, 0.250, 0.000), Cl at (0.000, 0.007, 0.250) and Cl at (0.000, 0.489, 0.250).

As for the energy above the most stable polymorph in this dataset: 60 meV per atom.


[3]
LaZrBe2Ge2 | PBE-GGA | optimized geometry

The structure belongs to space group P-3m1 (No. 164); the cell edges are 3.8842, 3.8842 and 8.1909 Å and the angles 90.00°, 90.00° and 120.00°. The asymmetric unit holds La at (0.0000, 0.0000, 0.0000), Zr at (0.0000, 0.0000, 0.5000), Be at (0.3333, 0.6667, 0.7145) and Ge at (0.3333, 0.6667, 0.2732).

Its total energy is -33.97 eV for the cell shown. For the magnetic moment, the calculation gives 0.0 μB per formula unit.


[4]
BAsPtO | PBE-GGA | optimized geometry

The structure belongs to space group Pmc2_1 (No. 26); the cell edges are 3.016, 7.972 and 4.517 Å and the angles 90.00°, 90.00° and 90.00°. The asymmetric unit holds B at (0.000, 0.082, 0.000), As at (0.500, 0.279, 0.932), Pt at (0.500, 0.403, 0.436) and O at (0.000, 0.046, 0.299).

As for the energy above the most stable polymorph in this dataset: 0 meV per atom. For the magnetic moment, the calculation gives 0.0 μB per formula unit.